[1]
VASP calculation (GGA-PBE) on a relaxed RbH2N crystal.

Output
Size of the total moment in μB/atom: 0.00
V in Å³ per atom: 16.1
Electronic total energy in Ha/atom: -0.160

a b c (Å): 4.8963 4.0509 6.5648
angles (deg): 90.00 98.14 90.00
Last column: nearest neighbours and their distance in Å.
Fractional coordinates of all 8 atoms:
Rb: 0.2096 0.2500 0.3055  6 H 2.93-3.16, 5 N 2.95-3.27
Rb: 0.7904 0.7500 0.6945  6 H 2.93-3.16, 5 N 2.95-3.27
H: 0.3238 0.0539 0.8595  1 N 1.03
H: 0.3238 0.4461 0.8595  1 N 1.03
H: 0.6762 0.5539 0.1405  1 N 1.03
H: 0.6762 0.9461 0.1405  1 N 1.03
N: 0.2849 0.2500 0.7591  2 H 1.03
N: 0.7151 0.7500 0.2409  2 H 1.03

[2]
VASP calculation (GGA-PBE) on a relaxed RbH2N crystal.

Output
Size of the total moment in μB/atom: 0.00
V in Å³ per atom: 12.7
Electronic total energy in Ha/atom: -0.121

a b c (Å): 4.1454 2.7303 4.4830
angles (deg): 90.00 90.15 90.00
Last column: nearest neighbours and their distance in Å.
Fractional coordinates of all 4 atoms:
Rb: 0.0000 0.0000 0.0000  2 Rb 2.73, 8 H 3.03-3.04, 4 N 3.05-3.06
H: 0.3666 0.5000 0.5025  1 H 1.11
H: 0.6334 0.5000 0.4975  1 H 1.11
N: 0.5000 0.0000 0.5000  4 H 1.47

[3]
VASP calculation (GGA-PBE) on a relaxed Rb2H5N crystal.

Output
Size of the total moment in μB/atom: 0.00
V in Å³ per atom: 18.6
Electronic total energy in Ha/atom: -0.133

a b c (Å): 4.2389 5.2585 7.3062
angles (deg): 82.62 89.97 67.50
Last column: nearest neighbours and their distance in Å.
Fractional coordinates of all 8 atoms:
Rb: 0.0000 0.0000 0.0000  7 H 2.84-3.15, 1 N 3.11
Rb: 0.3137 0.3880 0.3792  6 H 2.85-3.06, 2 N 3.15
H: 0.2952 0.4274 0.9576  2 H 1.91
H: 0.5624 0.5086 0.7650  1 N 1.04
H: 0.5988 0.8278 0.3044  1 H 2.03
H: 0.6836 0.6620 0.5753  1 N 1.04
H: 0.9525 0.5081 0.7643  1 N 1.04
N: 0.7634 0.4948 0.6799  3 H 1.04

[4]
VASP calculation (GGA-PBE) on a relaxed Rb2H4N crystal.

Output
Size of the total moment in μB/atom: 0.14
V in Å³ per atom: 22.2
Electronic total energy in Ha/atom: -0.122

a b c (Å): 7.6957 9.5158 5.7289
angles (deg): 90.00 132.19 90.00
Last column: nearest neighbours and their distance in Å.
Fractional coordinates of all 14 atoms:
Rb: 0.0000 0.2497 0.0000  4 H 2.84-2.89
Rb: 0.0000 0.7503 0.0000  4 H 2.84-2.89
Rb: 0.5000 0.2503 0.0000  4 H 2.84-2.89
Rb: 0.5000 0.7497 0.0000  4 H 2.84-2.89
H: 0.0705 0.0000 0.4359  1 N 1.03
H: 0.3651 0.5000 0.4340  1 N 1.03
H: 0.4964 0.2505 0.4927  2 H 2.51, 1 N 2.54
H: 0.4964 0.7495 0.4927  2 H 2.51, 1 N 2.54
H: 0.5705 0.5000 0.4359  1 N 1.03
H: 0.8651 0.0000 0.4340  1 N 1.03
H: 0.9964 0.2495 0.4927  2 H 2.51, 1 N 2.54
H: 0.9964 0.7505 0.4927  2 H 2.51, 1 N 2.54
N: 0.3897 0.5000 0.2779  2 H 1.03
N: 0.8897 0.0000 0.2779  2 H 1.03

[5]
VASP calculation (GGA-PBE) on a relaxed RbH3N crystal.

Output
Size of the total moment in μB/atom: 0.00
V in Å³ per atom: 8.7
Electronic total energy in Ha/atom: -0.109

a b c (Å): 3.5136 3.5136 3.5136
angles (deg): 90.00 90.00 90.00
Last column: nearest neighbours and their distance in Å.
Fractional coordinates of all 5 atoms:
Rb: 0.0000 0.0000 0.0000  12 H 2.48
H: 0.0000 0.5000 0.5000  2 N 1.76
H: 0.5000 0.0000 0.5000  2 N 1.76
H: 0.5000 0.5000 0.0000  2 N 1.76
N: 0.5000 0.5000 0.5000  6 H 1.76

[6]
VASP calculation (GGA-PBE) on a relaxed RbHN crystal.

Output
Size of the total moment in μB/atom: 0.00
V in Å³ per atom: 29.4
Electronic total energy in Ha/atom: -0.158

a b c (Å): 10.2394 4.1535 8.3078
angles (deg): 90.00 92.45 90.00
Last column: nearest neighbours and their distance in Å.
Fractional coordinates of all 12 atoms:
Rb: 0.1494 0.2482 0.1329  5 H 2.93-2.99
Rb: 0.1494 0.2518 0.6329  5 H 2.93-2.99
Rb: 0.8506 0.7482 0.3671  5 H 2.93-2.99
Rb: 0.8506 0.7518 0.8671  5 H 2.93-2.99
H: 0.1431 0.7501 0.3821  5 Rb 2.93-2.99
H: 0.1431 0.7499 0.8821  5 Rb 2.93-2.99
H: 0.8569 0.2501 0.1179  5 Rb 2.93-2.99
H: 0.8569 0.2499 0.6179  5 Rb 2.93-2.99
N: 0.4557 0.0494 0.5280  1 N 1.11
N: 0.4557 0.4506 0.0280  1 N 1.11
N: 0.5443 0.5494 0.9720  1 N 1.11
N: 0.5443 0.9506 0.4720  1 N 1.11

[7]
VASP calculation (GGA-PBE) on a relaxed Rb2H7N2 crystal.

Output
Size of the total moment in μB/atom: 0.00
V in Å³ per atom: 28.5
Electronic total energy in Ha/atom: -0.145

a b c (Å): 8.3914 8.3914 4.8101
angles (deg): 92.32 92.32 111.81
Last column: nearest neighbours and their distance in Å.
Fractional coordinates of all 11 atoms:
Rb: 0.1904 0.8096 0.0000  8 H 4.16-4.33
Rb: 0.8096 0.1904 0.0000  8 H 4.16-4.33
H: 0.2591 0.3791 0.5666  1 N 1.03
H: 0.3225 0.3225 0.2675  1 N 1.03
H: 0.3791 0.2591 0.5666  1 N 1.03
H: 0.5000 0.5000 0.5000  2 N 1.31
H: 0.6209 0.7409 0.4334  1 N 1.03
H: 0.6775 0.6775 0.7325  1 N 1.03
H: 0.7409 0.6209 0.4334  1 N 1.03
N: 0.3607 0.3607 0.4745  3 H 1.03
N: 0.6393 0.6393 0.5255  3 H 1.03

[8]
VASP calculation (GGA-PBE) on a relaxed RbH4N crystal.

Output
Size of the total moment in μB/atom: 0.00
V in Å³ per atom: 26.0
Electronic total energy in Ha/atom: -0.139

a b c (Å): 5.2418 7.8546 7.5783
angles (deg): 90.00 90.04 90.00
Last column: nearest neighbours and their distance in Å.
Fractional coordinates of all 12 atoms:
Rb: 0.0000 0.2311 0.2500  14 H 3.91-4.19
Rb: 0.0000 0.7689 0.7500  14 H 3.91-4.19
H: 0.3360 0.2130 0.7515  1 N 1.05
H: 0.3360 0.7870 0.2515  1 N 1.05
H: 0.4978 0.3677 0.6368  1 N 1.05
H: 0.4978 0.6323 0.1368  1 N 1.05
H: 0.5022 0.3677 0.8632  1 N 1.05
H: 0.5022 0.6323 0.3632  1 N 1.05
H: 0.6640 0.2130 0.7485  1 N 1.05
H: 0.6640 0.7870 0.2485  1 N 1.05
N: 0.5000 0.2897 0.7500  4 H 1.05
N: 0.5000 0.7103 0.2500  4 H 1.05